Crystalline Ca2CoBO5 at its relaxed geometry, computed with GGA+U.

Unit cell a=2.966 b=6.768 c=9.757 alpha=90.00 beta=90.00 gamma=102.66
Fractional positions:
O  0.657  0.315  0.504
Ca  0.865  0.730  0.824
Co  0.800  0.600  0.532
O  0.343  0.685  0.004
B  0.565  0.129  0.922
O  0.050  0.101  0.010
Ca  0.888  0.777  0.165
Co  0.200  0.400  0.032
Ca  0.112  0.223  0.665
O  0.325  0.650  0.402
B  0.435  0.871  0.422
O  0.493  0.986  0.303
O  0.709  0.418  0.161
Ca  0.135  0.270  0.324
O  0.291  0.582  0.661
O  0.950  0.899  0.510
O  0.675  0.350  0.902
O  0.507  0.014  0.803

final energy	-6.708	eV/atom
space-group type	Cmc2_1 (36)